PmPu2AgO8: optimized geometry, PBE.

The structure belongs to space group I-4m2 (No. 119); the cell edges are 5.440, 5.440 and 10.499 Å and the angles 90.00°, 90.00° and 90.00°. Symmetry generates all atoms from Pm at (0.000, 0.000, 0.000), Pu at (0.000, 0.000, 0.500), Pu at (0.000, 0.500, 0.750), Ag at (0.000, 0.500, 0.250) and O at (0.222, 0.253, 0.624).

As for the formation energy without anion corrections: -2.242 eV/atom.

---

LiPdF3: optimized geometry, PBE.

The structure belongs to space group Pm-3m (No. 221); the cell edges are 4.244, 4.244 and 4.244 Å and the angles 90.00°, 90.00° and 90.00°. Symmetry generates all atoms from Li at (0.000, 0.000, 0.000), Pd at (0.500, 0.500, 0.500) and F at (0.000, 0.500, 0.500).

As for the formation energy without anion corrections: -1.567 eV/atom. For the energy relative to the lowest polymorph listed for this composition, the calculation gives 0.280 eV/atom.

---

Cs3SmP2O8: optimized geometry, PBE.

The structure belongs to space group P-3m1 (No. 164); the cell edges are 5.8914, 5.8914 and 8.7400 Å and the angles 90.00°, 90.00° and 120.00°. Symmetry generates all atoms from Cs at (0.0000, 0.0000, 0.0000), Cs at (0.3333, 0.6667, 0.7710), Sm at (0.0000, 0.0000, 0.5000), P at (0.3333, 0.6667, 0.2877), O at (0.1887, 0.3774, 0.3484) and O at (0.3333, 0.6667, 0.1116).

As for the formation energy without anion corrections: -2.538 eV/atom.

---

TaCuGe2: optimized geometry, PBE.

The structure belongs to space group R-3m (No. 166, hexagonal axes); the cell edges are 2.9843, 2.9843 and 27.2772 Å and the angles 90.00°, 90.00° and 120.00°. Symmetry generates all atoms from Ta at (0.0000, 0.0000, 0.0000), Cu at (0.0000, 0.0000, 0.5000) and Ge at (0.0000, 0.0000, 0.4138).

Its formation energy is 0.38 eV per formula unit.